(1)
Computed, not measured: Cd8Au5 at its PBEsol-relaxed geometry at the SCAN level of DFT.

## Properties
**ΔH_f (0 K)**: -0.188 eV/atom
**Total energy**: -45.50 eV per atom
**Density**: 12.9 g cm⁻³

Cell lengths 9.8967, 9.8967, 9.8967 Å; angles 90.00, 90.00, 90.00 degrees
Space group I-43m (No. 217)
Inequivalent atoms, fractional coordinates:
Cd  0.0358  0.3132  0.3132 [24 per cell]
Cd  0.1092  0.1092  0.1092 [8 per cell]
Au  0.0000  0.0000  0.3586 [12 per cell]
Au  0.1747  0.1747  0.8253 [8 per cell]



(2)
Computed, not measured: Cd2Au at its PBEsol-relaxed geometry at the SCAN level of DFT.

## Properties
**ΔH_f (0 K)**: -0.178 eV/atom
**Total energy**: -43.51 eV per atom
**Density**: 12.5 g cm⁻³

Cell lengths 3.1223, 15.1654, 4.7443 Å; angles 90.00, 90.00, 90.00 degrees
Space group Cmcm (No. 63)
Inequivalent atoms, fractional coordinates:
Cd  0.0000  0.0557  0.2500 [4 per cell]
Cd  0.0000  0.2741  0.7500 [4 per cell]
Au  0.0000  0.3889  0.2500 [4 per cell]



(3)
Computed, not measured: CdAu5 at its PBEsol-relaxed geometry at the SCAN level of DFT.

## Properties
**ΔH_f (0 K)**: -0.070 eV/atom
**Total energy**: -62.77 eV per atom
**Density**: 17.6 g cm⁻³

Cell lengths 2.9151, 2.9151, 12.1978 Å; angles 90.00, 90.00, 90.00 degrees
Space group P4/mmm (No. 123)
Inequivalent atoms, fractional coordinates:
Cd  0.0000  0.0000  0.0000 [1 per cell]
Au  0.0000  0.0000  0.3356 [2 per cell]
Au  0.5000  0.5000  0.1689 [2 per cell]
Au  0.5000  0.5000  0.5000 [1 per cell]



(4)
Computed, not measured: Cd5Au4 at its PBEsol-relaxed geometry at the SCAN level of DFT.

## Properties
**ΔH_f (0 K)**: -0.152 eV/atom
**Total energy**: -47.79 eV per atom
**Density**: 13.6 g cm⁻³

Cell lengths 8.7969, 8.7969, 4.2618 Å; angles 90.00, 90.00, 90.00 degrees
Space group I4/mmm (No. 139)
Inequivalent atoms, fractional coordinates:
Cd  0.0000  0.0000  0.0000 [2 per cell]
Cd  0.1695  0.1695  0.5000 [8 per cell]
Au  0.0000  0.3330  0.0000 [8 per cell]



(5)
Computed, not measured: Cd2Au at its PBEsol-relaxed geometry at the SCAN level of DFT.

## Properties
**ΔH_f (0 K)**: -0.118 eV/atom
**Total energy**: -43.45 eV per atom
**Density**: 12.4 g cm⁻³

Cell lengths 4.7272, 4.7272, 2.9174 Å; angles 90.00, 90.00, 120.00 degrees
Space group P-3m1 (No. 164)
Inequivalent atoms, fractional coordinates:
Cd  0.3333  0.6667  0.2957 [2 per cell]
Au  0.0000  0.0000  0.0000 [1 per cell]



(6)
Computed, not measured: Cd2Au at its PBEsol-relaxed geometry at the SCAN level of DFT.

## Properties
**ΔH_f (0 K)**: -0.226 eV/atom
**Total energy**: -43.55 eV per atom
**Density**: 10.5 g cm⁻³

Cell lengths 6.4366, 6.4366, 6.4366 Å; angles 90.00, 90.00, 90.00 degrees
Space group Fm-3m (No. 225)
Inequivalent atoms, fractional coordinates:
Cd  0.2500  0.2500  0.2500 [8 per cell]
Au  0.0000  0.0000  0.0000 [4 per cell]



(7)
Computed, not measured: Cd22Au at its PBEsol-relaxed geometry at the SCAN level of DFT.

## Properties
**ΔH_f (0 K)**: 0.086 eV/atom
**Total energy**: -32.01 eV per atom
**Density**: 9.1 g cm⁻³

Cell lengths 15.7609, 15.7609, 15.7609 Å; angles 90.00, 90.00, 90.00 degrees
Space group Fd-3m (No. 227, origin choice 2)
Inequivalent atoms, fractional coordinates:
Cd  0.0000  0.0000  0.0000 [16 per cell]
Cd  0.0000  0.0000  0.5000 [16 per cell]
Cd  0.0187  0.3750  0.3750 [48 per cell]
Cd  0.0625  0.0625  0.8164 [96 per cell]
Au  0.1250  0.1250  0.6250 [8 per cell]



(8)
Computed, not measured: Cd2Au at its PBEsol-relaxed geometry at the SCAN level of DFT.

## Properties
**ΔH_f (0 K)**: -0.175 eV/atom
**Total energy**: -43.50 eV per atom
**Density**: 11.5 g cm⁻³

Cell lengths 6.6892, 6.6892, 5.4218 Å; angles 90.00, 90.00, 90.00 degrees
Space group I4/mcm (No. 140)
Inequivalent atoms, fractional coordinates:
Cd  0.1537  0.3463  0.0000 [8 per cell]
Au  0.0000  0.0000  0.2500 [4 per cell]